Density functional theory data (PBE-GGA) for a geometry-optimized InBi2Pb4 structure.

Output
The calculation puts the relative energy among the computed polymorphs at 0.0 meV/atom. As for the formation energy from the elements: 34 meV per atom. The total magnetization comes out at 0.0 Bohr magnetons per cell. The density of states at the Fermi level comes out at 0.49 states/eV/atom.

Cell: 8.2112 6.8675 8.7838 Å, 90.00 115.46 90.00°
Fractional positions:
In 0.0570 0.2500 0.3349
In 0.9430 0.7500 0.6651
Bi 0.0582 0.7500 0.3573
Bi 0.2382 0.2500 0.0601
Bi 0.7618 0.7500 0.9399
Bi 0.9418 0.2500 0.6427
Pb 0.2242 0.7500 0.0695
Pb 0.3465 0.5011 0.7675
Pb 0.3465 0.9989 0.7675
Pb 0.4926 0.2500 0.4931
Pb 0.5074 0.7500 0.5069
Pb 0.6535 0.0011 0.2325
Pb 0.6535 0.4989 0.2325
Pb 0.7758 0.2500 0.9305

---

Density functional theory data (PBE-GGA) for a geometry-optimized CaScOs2 structure.

Output
The calculation puts the relative energy among the computed polymorphs at 161.3 meV/atom. As for the formation energy from the elements: 277 meV per atom. The total magnetization comes out at 0.0 Bohr magnetons per cell. The density of states at the Fermi level comes out at 1.34 states/eV/atom.

Cell: 3.3484 3.3484 6.7475 Å, 90.00 90.00 90.00°
Fractional positions:
Ca 0.0000 0.0000 0.0000
Sc 0.0000 0.0000 0.5000
Os 0.5000 0.5000 0.2969
Os 0.5000 0.5000 0.7031

---

Density functional theory data (PBE-GGA) for a geometry-optimized TiTcW2C structure.

Output
As for the formation energy from the elements: 2648 meV per atom. The total magnetization comes out at 0.0 Bohr magnetons per cell. The density of states at the Fermi level comes out at 1.18 states/eV/atom.

Cell: 4.6829 4.6829 4.6449 Å, 90.00 90.00 90.00°
Fractional positions:
Ti 0.0000 0.0000 0.0000
Tc 0.0000 0.0000 0.5000
W 0.0000 0.5000 0.5000
W 0.5000 0.0000 0.5000
C 0.5000 0.5000 0.0000

---

Density functional theory data (PBE-GGA) for a geometry-optimized MgCoIr2 structure.

Output
As for the formation energy from the elements: 81 meV per atom. The total magnetization comes out at 2.6 Bohr magnetons per cell. The density of states at the Fermi level comes out at 1.19 states/eV/atom.

Cell: 2.7193 2.7193 8.6864 Å, 90.00 90.00 116.05°
Fractional positions:
Mg 0.0000 0.0000 0.0000
Co 0.0000 0.0000 0.5000
Ir 0.5000 0.5000 0.2580
Ir 0.5000 0.5000 0.7420

---

Density functional theory data (PBE-GGA) for a geometry-optimized TlPdF3 structure.

Output
The calculation puts the relative energy among the computed polymorphs at 223.6 meV/atom. The total magnetization comes out at 0.0 Bohr magnetons per cell. The density of states at the Fermi level comes out at 0.59 states/eV/atom.

Cell: 5.5408 5.5408 8.1133 Å, 116.09 116.09 43.91°
Fractional positions:
Tl 0.0837 0.0837 0.3196
Tl 0.9163 0.9163 0.6804
Pd 0.3609 0.3609 0.8929
Pd 0.6391 0.6391 0.1071
F 0.1337 0.1337 0.6728
F 0.1577 0.1577 0.0329
F 0.3551 0.3551 0.5324
F 0.6449 0.6449 0.4676
F 0.8423 0.8423 0.9671
F 0.8663 0.8663 0.3272

---

Density functional theory data (PBE-GGA) for a geometry-optimized KSrTl2 structure.

Output
The calculation puts the relative energy among the computed polymorphs at 27.4 meV/atom. As for the formation energy from the elements: -191 meV per atom. The total magnetization comes out at 0.0 Bohr magnetons per cell. The density of states at the Fermi level comes out at 0.80 states/eV/atom.

Cell: 5.8668 5.8668 5.8668 Å, 60.00 60.00 60.00°
Fractional positions:
K 0.0000 0.0000 0.0000
Sr 0.5000 0.5000 0.5000
Tl 0.2500 0.2500 0.2500
Tl 0.7500 0.7500 0.7500

---

Density functional theory data (PBE-GGA) for a geometry-optimized ZrScCl2 structure.

Output
The calculation puts the relative energy among the computed polymorphs at 518.6 meV/atom. The total magnetization comes out at 0.0 Bohr magnetons per cell. The density of states at the Fermi level comes out at 0.60 states/eV/atom.

Cell: 3.4305 3.4305 8.8119 Å, 90.00 90.00 126.14°
Fractional positions:
Zr 0.0000 0.0000 0.0000
Sc 0.0000 0.0000 0.5000
Cl 0.5000 0.5000 0.2500
Cl 0.5000 0.5000 0.7500

---

Density functional theory data (PBE-GGA) for a geometry-optimized LaNb2Bi2 structure.

Output
The calculation puts the relative energy among the computed polymorphs at 328.5 meV/atom. As for the formation energy from the elements: 103 meV per atom. The total magnetization comes out at 0.8 Bohr magnetons per cell. The density of states at the Fermi level comes out at 0.70 states/eV/atom.

Cell: 8.3711 8.3711 3.5966 Å, 90.00 90.00 90.00°
Fractional positions:
La 0.0000 0.0000 0.0000
La 0.5000 0.5000 0.0000
Nb 0.1118 0.3882 0.0000
Nb 0.3882 0.8882 0.0000
Nb 0.6118 0.1118 0.0000
Nb 0.8882 0.6118 0.0000
Bi 0.1728 0.6728 0.5000
Bi 0.3272 0.1728 0.5000
Bi 0.6728 0.8272 0.5000
Bi 0.8272 0.3272 0.5000

---

Density functional theory data (PBE-GGA) for a geometry-optimized PmNpOs4 structure.

Output
As for the formation energy from the elements: -39 meV per atom. The total magnetization comes out at 2.9 Bohr magnetons per cell. The density of states at the Fermi level comes out at 1.68 states/eV/atom.

Cell: 5.3767 5.3767 5.3767 Å, 60.00 60.00 60.00°
Fractional positions:
Pm 0.0000 0.0000 0.0000
Np 0.2500 0.2500 0.2500
Os 0.1256 0.6248 0.6248
Os 0.6248 0.1256 0.6248
Os 0.6248 0.6248 0.1256
Os 0.6248 0.6248 0.6248

---

Density functional theory data (PBE-GGA) for a geometry-optimized Pr2TaWN5 structure.

Output
As for the final energy: -0.349 hartree per atom. The total magnetization comes out at 0.0 Bohr magnetons per cell. The density of states at the Fermi level comes out at 0.34 states/eV/atom.

Cell: 6.9263 6.9263 10.7954 Å, 90.00 90.00 151.79°
Fractional positions:
Pr 0.1060 0.8940 0.5000
Pr 0.1496 0.8504 0.1084
Pr 0.8504 0.1496 0.6084
Pr 0.8940 0.1060 0.0000
Ta 0.2203 0.7797 0.8270
Ta 0.7797 0.2203 0.3270
W 0.4729 0.5271 0.2708
W 0.5271 0.4729 0.7708
N 0.0487 0.9513 0.8578
N 0.2810 0.7190 0.4534
N 0.3215 0.6785 0.2004
N 0.3686 0.6314 0.8113
N 0.4889 0.5111 0.6006
N 0.5111 0.4889 0.1006
N 0.6314 0.3686 0.3113
N 0.6785 0.3215 0.7004
N 0.7190 0.2810 0.9534
N 0.9513 0.0487 0.3578

---

Density functional theory data (PBE-GGA) for a geometry-optimized InSiTe3 structure.

Output
The calculation puts the relative energy among the computed polymorphs at 0.0 meV/atom. The total magnetization comes out at 0.0 Bohr magnetons per cell.

Cell: 7.1508 7.1508 7.5884 Å, 90.00 90.00 120.00°
Fractional positions:
In 0.3333 0.6667 0.0000
In 0.6667 0.3333 0.0000
Si 0.0000 0.0000 0.1533
Si 0.0000 0.0000 0.8467
Te 0.0000 0.3381 0.2526
Te 0.0000 0.6619 0.7474
Te 0.3381 0.0000 0.2526
Te 0.3381 0.3381 0.7474
Te 0.6619 0.0000 0.7474
Te 0.6619 0.6619 0.2526

---

Density functional theory data (PBE-GGA) for a geometry-optimized Pu2NpBi structure.

Output
As for the formation energy from the elements: 22 meV per atom. The total magnetization comes out at 17.0 Bohr magnetons per cell. The density of states at the Fermi level comes out at 4.00 states/eV/atom.

Cell: 4.7944 4.7944 4.7076 Å, 90.00 90.00 90.00°
Fractional positions:
Pu 0.0000 0.5000 0.0000
Pu 0.5000 0.0000 0.0000
Np 0.0000 0.0000 0.5000
Bi 0.5000 0.5000 0.5000

---

Density functional theory data (PBE-GGA) for a geometry-optimized Al3TcOs structure.

Output
The calculation puts the relative energy among the computed polymorphs at 0.0 meV/atom. As for the formation energy from the elements: 678 meV per atom. The total magnetization comes out at 3.4 Bohr magnetons per cell. The density of states at the Fermi level comes out at 0.77 states/eV/atom.

Cell: 4.6584 4.6584 4.6584 Å, 90.00 90.00 90.00°
Fractional positions:
Al 0.0000 0.0000 0.5000
Al 0.0000 0.5000 0.0000
Al 0.5000 0.0000 0.0000
Tc 0.5000 0.5000 0.5000
Os 0.0000 0.0000 0.0000

---

Density functional theory data (PBE-GGA) for a geometry-optimized Cu3HPd structure.

Output
The calculation puts the relative energy among the computed polymorphs at 1357.3 meV/atom. The total magnetization comes out at 0.2 Bohr magnetons per cell. The density of states at the Fermi level comes out at 0.34 states/eV/atom.

Cell: 4.7223 4.7223 4.7223 Å, 90.00 90.00 90.00°
Fractional positions:
Cu 0.0000 0.0000 0.5000
Cu 0.0000 0.5000 0.0000
Cu 0.5000 0.0000 0.0000
H 0.5000 0.5000 0.5000
Pd 0.0000 0.0000 0.0000

---

Density functional theory data (PBE-GGA) for a geometry-optimized Na2Al12Pt7 structure.

Output
As for the formation energy from the elements: -808 meV per atom. The total magnetization comes out at 0.0 Bohr magnetons per cell. The density of states at the Fermi level comes out at 0.41 states/eV/atom.

Cell: 10.0450 10.0450 4.1122 Å, 90.00 90.00 120.00°
Fractional positions:
Na 0.0000 0.0000 0.0000
Na 0.3333 0.6667 0.5000
Al 0.0245 0.7449 0.5000
Al 0.1435 0.3963 0.0000
Al 0.2528 0.8565 0.0000
Al 0.2551 0.2796 0.5000
Al 0.3754 0.1767 0.0000
Al 0.5380 0.1212 0.5000
Al 0.5832 0.4620 0.5000
Al 0.6037 0.7472 0.0000
Al 0.7204 0.9755 0.5000
Al 0.8013 0.6246 0.0000
Al 0.8233 0.1987 0.0000
Al 0.8788 0.4168 0.5000
Pt 0.0300 0.5824 0.0000
Pt 0.2494 0.0163 0.5000
Pt 0.4176 0.4476 0.0000
Pt 0.5524 0.9700 0.0000
Pt 0.6667 0.3333 0.0000
Pt 0.7669 0.7506 0.5000
Pt 0.9837 0.2331 0.5000

---

Density functional theory data (PBE-GGA) for a geometry-optimized CePdRhAu structure.

Output
The calculation puts the relative energy among the computed polymorphs at 0.0 meV/atom. As for the formation energy from the elements: -729 meV per atom. The total magnetization comes out at 0.3 Bohr magnetons per cell. The density of states at the Fermi level comes out at 0.91 states/eV/atom.

Cell: 3.9401 4.1723 4.4538 Å, 90.00 90.00 90.00°
Fractional positions:
Ce 0.0000 0.0000 0.0000
Pd 0.5000 0.0000 0.5000
Rh 0.5000 0.5000 0.0000
Au 0.0000 0.5000 0.5000

---

Density functional theory data (PBE-GGA) for a geometry-optimized BRu2AuCl structure.

Output
As for the final energy: -0.157 hartree per atom. The total magnetization comes out at 5.8 Bohr magnetons per cell. The density of states at the Fermi level comes out at 1.29 states/eV/atom.

Cell: 5.2158 5.2158 3.9910 Å, 90.00 90.00 90.00°
Fractional positions:
B 0.0000 0.0000 0.0000
Ru 0.0000 0.5000 0.5000
Ru 0.5000 0.0000 0.5000
Au 0.0000 0.0000 0.5000
Cl 0.5000 0.5000 0.0000

---

Density functional theory data (PBE-GGA) for a geometry-optimized ScTi5N6 structure.

Output
As for the final energy: -0.358 hartree per atom. The total magnetization comes out at 0.0 Bohr magnetons per cell. The density of states at the Fermi level comes out at 0.37 states/eV/atom.

Cell: 5.2524 5.2524 5.2580 Å, 99.58 99.58 119.98°
Fractional positions:
Sc 0.0000 0.0000 0.0000
Ti 0.1666 0.8334 0.5000
Ti 0.3332 0.6668 0.0000
Ti 0.5000 0.5000 0.5000
Ti 0.6668 0.3332 0.0000
Ti 0.8334 0.1666 0.5000
N 0.0848 0.4234 0.2553
N 0.2548 0.2548 0.7479
N 0.4234 0.0848 0.2553
N 0.5766 0.9152 0.7447
N 0.7452 0.7452 0.2521
N 0.9152 0.5766 0.7447

---

Density functional theory data (PBE-GGA) for a geometry-optimized Pm2HoCuS5 structure.

Output
As for the final energy: -0.223 hartree per atom. The total magnetization comes out at 0.0 Bohr magnetons per cell. The density of states at the Fermi level comes out at 0.00 states/eV/atom.

Cell: 8.6307 8.6307 11.5925 Å, 90.00 90.00 153.92°
Fractional positions:
Pm 0.1082 0.8918 0.5000
Pm 0.1218 0.8782 0.1243
Pm 0.8782 0.1218 0.6243
Pm 0.8918 0.1082 0.0000
Ho 0.1948 0.8052 0.8244
Ho 0.8052 0.1948 0.3244
Cu 0.4420 0.5580 0.2685
Cu 0.5580 0.4420 0.7685
S 0.0429 0.9571 0.8740
S 0.2891 0.7109 0.4879
S 0.3142 0.6858 0.1622
S 0.3570 0.6430 0.8158
S 0.4984 0.5016 0.5925
S 0.5016 0.4984 0.0925
S 0.6430 0.3570 0.3158
S 0.6858 0.3142 0.6622
S 0.7109 0.2891 0.9879
S 0.9571 0.0429 0.3740

---

Density functional theory data (PBE-GGA) for a geometry-optimized ScGePCl2 structure.

Output
The calculation puts the relative energy among the computed polymorphs at 418.5 meV/atom. The total magnetization comes out at 0.5 Bohr magnetons per cell. The density of states at the Fermi level comes out at 0.59 states/eV/atom.

Cell: 4.8105 4.8105 5.0517 Å, 90.00 90.00 90.00°
Fractional positions:
Sc 0.0000 0.0000 0.0000
Ge 0.5000 0.5000 0.5000
P 0.5000 0.5000 0.0000
Cl 0.0000 0.5000 0.5000
Cl 0.5000 0.0000 0.5000

---

Density functional theory data (PBE-GGA) for a geometry-optimized Pr2MgCo3H12 structure.

Output
As for the final energy: -0.157 hartree per atom. The total magnetization comes out at 0.5 Bohr magnetons per cell. The density of states at the Fermi level comes out at 0.49 states/eV/atom.

Cell: 5.8202 5.8202 5.8202 Å, 62.83 62.83 62.83°
Fractional positions:
Pr 0.1179 0.1179 0.1179
Pr 0.8821 0.8821 0.8821
Mg 0.5000 0.5000 0.5000
Co 0.0000 0.5000 0.5000
Co 0.5000 0.0000 0.5000
Co 0.5000 0.5000 0.0000
H 0.1085 0.6137 0.6137
H 0.1922 0.1922 0.6166
H 0.1922 0.6166 0.1922
H 0.3834 0.8078 0.8078
H 0.3863 0.3863 0.8915
H 0.3863 0.8915 0.3863
H 0.6137 0.1085 0.6137
H 0.6137 0.6137 0.1085
H 0.6166 0.1922 0.1922
H 0.8078 0.3834 0.8078
H 0.8078 0.8078 0.3834
H 0.8915 0.3863 0.3863

---

Density functional theory data (PBE-GGA) for a geometry-optimized Cd3Ag structure.

Output
As for the formation energy from the elements: 262 meV per atom. The total magnetization comes out at 0.0 Bohr magnetons per cell. The density of states at the Fermi level comes out at 0.19 states/eV/atom.

Cell: 5.3912 5.3912 5.3912 Å, 90.00 90.00 90.00°
Fractional positions:
Cd 0.0000 0.0000 0.5000
Cd 0.0000 0.5000 0.0000
Cd 0.5000 0.0000 0.0000
Ag 0.0000 0.0000 0.0000

---

Density functional theory data (PBE-GGA) for a geometry-optimized Ac3Tl2Hg4 structure.

Output
As for the formation energy from the elements: -422 meV per atom. The total magnetization comes out at 0.0 Bohr magnetons per cell. The density of states at the Fermi level comes out at 0.55 states/eV/atom.

Cell: 6.4947 6.4947 9.8893 Å, 112.84 112.84 46.96°
Fractional positions:
Ac 0.0000 0.0000 0.0000
Ac 0.3354 0.3354 0.3297
Ac 0.6646 0.6646 0.6703
Tl 0.3873 0.3873 0.7235
Tl 0.6127 0.6127 0.2765
Hg 0.0813 0.0813 0.4183
Hg 0.3012 0.3012 0.9742
Hg 0.6988 0.6988 0.0258
Hg 0.9187 0.9187 0.5817